1.
The following is a PBE calculation of an optimized crystal structure of CoHgRhC2, from the Alexandria database.

Cell lengths 4.1083, 4.8323, 4.1083 Å; angles 90.00, 90.00, 90.00 degrees
Last column: nearest neighbours and their distance in Å.
Atoms (fractional coordinates):
Co (0.0000, 0.5000, 0.0000)  2 Hg 2.42
C (0.0000, 0.0000, 0.5000)  2 Hg 2.05
C (0.5000, 0.0000, 0.0000)  2 Hg 2.05
Rh (0.5000, 0.5000, 0.5000)  4 Co 2.90, 8 C 3.17
Hg (0.0000, 0.0000, 0.0000)  4 C 2.05

* formation energy: 3175 meV per atom
* SG: No. 123

***

2.
The following is a PBE calculation of an optimized crystal structure of CoHgRuC2, from the Alexandria database.

Cell lengths 3.7098, 5.2146, 3.7098 Å; angles 90.00, 90.00, 90.00 degrees
Last column: nearest neighbours and their distance in Å.
Atoms (fractional coordinates):
Ru (0.0000, 0.5000, 0.0000)  2 Co 2.61, 4 Hg 2.62
C (0.0000, 0.0000, 0.5000)  2 Co 1.85
C (0.5000, 0.0000, 0.0000)  2 Co 1.85
Co (0.0000, 0.0000, 0.0000)  4 C 1.85
Hg (0.5000, 0.5000, 0.5000)  4 Ru 2.62

* formation energy: 1737 meV per atom
* SG: No. 123

***

3.
The following is a PBE calculation of an optimized crystal structure of CoHgSbC2, from the Alexandria database.

Cell lengths 4.1058, 6.1626, 4.1058 Å; angles 90.00, 90.00, 90.00 degrees
Last column: nearest neighbours and their distance in Å.
Atoms (fractional coordinates):
Sb (0.0000, 0.5000, 0.0000)  4 Co 2.90, 2 Hg 3.08
C (0.0000, 0.0000, 0.5000)  2 Hg 2.05
C (0.5000, 0.0000, 0.0000)  2 Hg 2.05
Co (0.5000, 0.5000, 0.5000)  4 Sb 2.90
Hg (0.0000, 0.0000, 0.0000)  4 C 2.05

* raw formation energy: 2.8090 eV per atom
* SG: No. 123

***

4.
The following is a PBE calculation of an optimized crystal structure of Sc2CoHgC, from the Alexandria database.

Cell lengths 4.6551, 4.6551, 3.6879 Å; angles 90.00, 90.00, 90.00 degrees
Last column: nearest neighbours and their distance in Å.
Atoms (fractional coordinates):
Sc (0.0000, 0.5000, 0.0000)  2 C 2.33
Sc (0.5000, 0.0000, 0.0000)  2 C 2.33
C (0.0000, 0.0000, 0.0000)  2 Co 1.84
Co (0.0000, 0.0000, 0.5000)  2 C 1.84
Hg (0.5000, 0.5000, 0.5000)  8 Sc 2.97, 4 Co 3.29

* formation energy: -442 meV per atom
* SG: No. 123

***

5.
The following is a PBE calculation of an optimized crystal structure of SrCo2HgC, from the Alexandria database.

Cell lengths 4.0430, 5.0171, 4.0430 Å; angles 90.00, 90.00, 90.00 degrees
Last column: nearest neighbours and their distance in Å.
Atoms (fractional coordinates):
Sr (0.5000, 0.5000, 0.5000)  4 Hg 2.86
C (0.0000, 0.0000, 0.0000)  4 Co 2.02
Co (0.0000, 0.0000, 0.5000)  2 C 2.02
Co (0.5000, 0.0000, 0.0000)  2 C 2.02
Hg (0.0000, 0.5000, 0.0000)  2 C 2.51

* formation energy: 611 meV per atom
* SG: No. 123

***

6.
The following is a PBE calculation of an optimized crystal structure of Co2TcHgC, from the Alexandria database.

Cell lengths 4.8427, 3.8467, 4.8427 Å; angles 90.00, 90.00, 90.00 degrees
Last column: nearest neighbours and their distance in Å.
Atoms (fractional coordinates):
C (0.0000, 0.5000, 0.0000)  2 Hg 1.92
Co (0.0000, 0.0000, 0.5000)  2 Hg 2.42
Co (0.5000, 0.0000, 0.0000)  2 Hg 2.42
Hg (0.0000, 0.0000, 0.0000)  2 C 1.92
Tc (0.5000, 0.5000, 0.5000)  8 Co 3.09, 4 C 3.42

* formation energy: 2508 meV per atom
* SG: No. 123

***

7.
The following is a PBE calculation of an optimized crystal structure of Th6CoHg3C2, from the Alexandria database.

Cell lengths 3.7665, 9.3058, 9.9045 Å; angles 116.07, 100.96, 90.00 degrees
Last column: nearest neighbours and their distance in Å.
Atoms (fractional coordinates):
Th (0.3412, 0.8552, 0.6825)  2 C 2.58, 1 Co 2.76
Th (0.6847, 0.5497, 0.3695)  3 C 2.59-2.62
Th (0.6588, 0.1448, 0.3175)  2 C 2.58, 1 Co 2.76
Th (0.0194, 0.2256, 0.0388)  1 C 2.58, 2 Co 2.72
Th (0.9806, 0.7744, 0.9612)  1 C 2.58, 2 Co 2.72
Th (0.3153, 0.4503, 0.6305)  3 C 2.59-2.62
Co (0.5000, 0.0000, 0.0000)  6 Th 2.72-2.76
Hg (0.5000, 0.5000, 0.0000)  6 Th 3.33-3.41
Hg (0.8333, 0.1514, 0.6665)  6 Th 3.37-3.50, 4 Hg 3.72-3.77
Hg (0.1667, 0.8486, 0.3335)  6 Th 3.37-3.50, 4 Hg 3.72-3.77
C (0.8326, 0.6590, 0.6652)  6 Th 2.58-2.62
C (0.1674, 0.3410, 0.3348)  6 Th 2.58-2.62

* formation energy: -277 meV per atom
* SG: No. 12

***

8.
The following is a PBE calculation of an optimized crystal structure of Th6Co2HgC3, from the Alexandria database.

Cell lengths 3.8254, 7.8410, 9.7919 Å; angles 115.96, 101.26, 90.00 degrees
Last column: nearest neighbours and their distance in Å.
Atoms (fractional coordinates):
Th (0.3135, 0.9302, 0.6271)  1 C 2.42, 2 Co 2.68
Th (0.6543, 0.5255, 0.3087)  3 C 2.60-2.88
Th (0.6865, 0.0698, 0.3729)  1 C 2.42, 2 Co 2.68
Th (0.9585, 0.2640, 0.9170)  3 C 2.43-2.53
Th (0.0415, 0.7360, 0.0830)  3 C 2.43-2.53
Th (0.3457, 0.4745, 0.6913)  3 C 2.60-2.88
Co (0.8636, 0.7720, 0.7273)  4 Th 2.68-2.92
Co (0.1364, 0.2280, 0.2727)  4 Th 2.68-2.92
Hg (0.5000, 0.0000, 0.0000)  4 Co 3.09, 6 Th 3.17-3.37
C (0.5000, 0.5000, 0.0000)  4 Th 2.53
C (0.8271, 0.2331, 0.6541)  4 Th 2.42-2.60
C (0.1729, 0.7669, 0.3459)  4 Th 2.42-2.60

* formation energy: -131 meV per atom
* SG: No. 12

***

9.
The following is a PBE calculation of an optimized crystal structure of V2CoHgC, from the Alexandria database.

Cell lengths 4.5680, 3.5297, 4.5680 Å; angles 90.00, 90.00, 90.00 degrees
Last column: nearest neighbours and their distance in Å.
Atoms (fractional coordinates):
C (0.0000, 0.5000, 0.0000)  2 Co 1.76
Co (0.0000, 0.0000, 0.0000)  2 C 1.76
Hg (0.5000, 0.5000, 0.5000)  8 V 2.89, 4 C 3.23
V (0.0000, 0.0000, 0.5000)  2 Co 2.28
V (0.5000, 0.0000, 0.0000)  2 Co 2.28

* formation energy: 993 meV per atom
* SG: No. 123

***

10.
The following is a PBE calculation of an optimized crystal structure of YCoHg2C, from the Alexandria database.

Cell lengths 5.9475, 4.1900, 5.9475 Å; angles 90.00, 90.00, 90.00 degrees
Last column: nearest neighbours and their distance in Å.
Atoms (fractional coordinates):
Y (0.0000, 0.0000, 0.0000)  2 C 2.09
C (0.0000, 0.5000, 0.0000)  2 Y 2.09
Co (0.5000, 0.5000, 0.5000)  8 Hg 3.64
Hg (0.0000, 0.0000, 0.5000)  2 Y 2.97
Hg (0.5000, 0.0000, 0.0000)  2 Y 2.97

* formation energy: 1544 meV per atom
* SG: No. 123

***

11.
The following is a PBE calculation of an optimized crystal structure of Zr2CoHgC, from the Alexandria database.

Cell lengths 4.6520, 4.6520, 3.7992 Å; angles 90.00, 90.00, 90.00 degrees
Last column: nearest neighbours and their distance in Å.
Atoms (fractional coordinates):
C (0.0000, 0.0000, 0.0000)  2 Co 1.90
Co (0.0000, 0.0000, 0.5000)  2 C 1.90
Hg (0.5000, 0.5000, 0.5000)  8 Zr 3.00, 4 Co 3.29
Zr (0.0000, 0.5000, 0.0000)  2 C 2.33
Zr (0.5000, 0.0000, 0.0000)  2 C 2.33

* formation energy: -301 meV per atom
* SG: No. 123

***

12.
The following is a PBE calculation of an optimized crystal structure of HoCo7C2, from the Alexandria database.

Cell lengths 3.8983, 5.9350, 5.9351 Å; angles 118.29, 90.00, 90.00 degrees
Last column: nearest neighbours and their distance in Å.
Atoms (fractional coordinates):
Ho (0.0000, 0.0000, 0.0000)  10 Co 2.71-3.00
Co (0.0000, 0.7054, 0.2946)  2 C 1.95
Co (0.0000, 0.2946, 0.7054)  2 C 1.95
Co (0.5000, 0.0513, 0.3386)  2 C 1.93-2.02
Co (0.5000, 0.9487, 0.6614)  2 C 1.93-2.02
Co (0.5000, 0.3386, 0.0513)  2 C 1.93-2.02
Co (0.5000, 0.6614, 0.9487)  2 C 1.93-2.02
Co (0.5000, 0.5000, 0.5000)  2 C 2.00
C (0.5000, 0.6958, 0.3042)  7 Co 1.93-2.02
C (0.5000, 0.3042, 0.6958)  7 Co 1.93-2.02

* formation energy: 226 meV per atom
* SG: No. 65

***

Number 1: N(E_F) 11.6 states/eV/f.u., V 16.31 Å³/atom. Number 2: N(E_F) 4.0 states/eV/f.u., V 14.35 Å³/atom. Number 3: N(E_F) 9.0 states/eV/f.u., V 20.78 Å³/atom. Number 4: N(E_F) 2.3 states/eV/f.u., V 15.98 Å³/atom. Number 5: N(E_F) 1.1 states/eV/f.u., V 16.40 Å³/atom. Number 6: N(E_F) 6.8 states/eV/f.u., V 18.04 Å³/atom. Number 7: N(E_F) 11.6 states/eV/f.u., V 25.40 Å³/atom. Number 8: N(E_F) 11.7 states/eV/f.u., V 21.48 Å³/atom. Number 9: N(E_F) 5.2 states/eV/f.u., V 14.73 Å³/atom. Number 10: N(E_F) 3.5 states/eV/f.u., V 29.64 Å³/atom. Number 11: N(E_F) 3.6 states/eV/f.u., V 16.44 Å³/atom. Number 12: N(E_F) 11.2 states/eV/f.u., V 12.09 Å³/atom.